1.
{"formula": "Pr3Y2In3", "functional": "GGA-PBE", "state": "optimized geometry", "spacegroup": "Immm (71)", "dos_at_fermi_per_ev_atom": 1.085, "dft_energy_ev_per_cell": -38.4, "cell": [[3.8657, 0.0000, 0.0000], [0.0000, 5.5305, 0.0000], [-1.9329, -2.7653, 11.4348]], "species": ["Pr", "Pr", "Pr", "Y", "Y", "In", "In", "In"], "frac_coords": [[0.6230, 0.6230, 0.2461], [0.3770, 0.3770, 0.7539], [0.5000, 0.0000, 0.0000], [0.7345, 0.2345, 0.4689], [0.2655, 0.7655, 0.5311], [0.1229, 0.1229, 0.2458], [0.0000, 0.5000, 0.0000], [0.8771, 0.8771, 0.7542]]}


2.
{"formula": "PrY2In", "functional": "GGA-PBE", "state": "optimized geometry", "spacegroup": "P4/mmm (123)", "dos_at_fermi_per_ev_atom": 0.966, "e_above_lowest_polymorph_mev_per_atom": 12.8, "cell": [[-3.1237, 0.3359, -1.8438], [0.6193, -3.1975, -1.6317], [-4.4873, -4.3447, 6.8106]], "species": ["Pr", "Y", "Y", "In"], "frac_coords": [[0.5000, 0.5000, 0.5000], [0.0000, 0.0000, 0.7806], [0.0000, 0.0000, 0.2194], [0.5000, 0.5000, 0.0000]]}